Entry 1:
A relaxed structure of CaSmDyMg, computed with PBE.

Summary:
The space group is F-43m (216). The value obtained for the density of states at the Fermi level is 4.001 states/eV/f.u. For the formation energy, the calculation gives 6 kJ/mol of atoms.

Lattice parameters (Å, degrees): 5.613 5.613 5.613 60.00 60.00 60.00
Element x y z (fractional)
Ca 0.500 0.500 0.500
Mg 0.000 0.000 0.000
Sm 0.750 0.750 0.750
Dy 0.250 0.250 0.250

Entry 2:
A relaxed structure of MgTeAs2, computed with PBE.

Summary:
The space group is Fm-3m (225). Its energy relative to the elements, uncorrected is 80 kJ/mol of formula units. The value obtained for the density of states at the Fermi level is 2.098 states/eV/f.u.

Lattice parameters (Å, degrees): 4.991 4.991 4.991 60.00 60.00 60.00
Element x y z (fractional)
As 0.250 0.250 0.250
As 0.750 0.750 0.750
Te 0.500 0.500 0.500
Mg 0.000 0.000 0.000

Entry 3:
A relaxed structure of LaZrTa2, computed with PBE.

Summary:
The space group is R-3m (166). The value obtained for the density of states at the Fermi level is 7.097 states/eV/f.u. For the formation energy, the calculation gives 47 kJ/mol of atoms.

Lattice parameters (Å, degrees): 10.786 10.786 10.786 16.68 16.68 16.68
Element x y z (fractional)
La 0.250 0.250 0.250
Ta 0.006 0.006 0.006
Ta 0.494 0.494 0.494
Zr 0.750 0.750 0.750

Entry 4:
A relaxed structure of MnCr3As, computed with PBE.

Summary:
The space group is Pm-3m (221). The value obtained for the density of states at the Fermi level is 4.292 states/eV/f.u. For the formation energy, the calculation gives 95 kJ/mol of atoms.

Lattice parameters (Å, degrees): 4.298 4.298 4.298 90.00 90.00 90.00
Site moments in Bohr magnetons follow the coordinates.
Element x y z (fractional)
Cr 0.000 0.500 0.000  1.82
Cr 0.000 0.000 0.500  1.94
Cr 0.500 0.000 0.000  1.96
As 0.500 0.500 0.500  -0.15
Mn 0.000 0.000 0.000  -1.26

Entry 5:
A relaxed structure of Mo2PdBr, computed with PBE.

Summary:
The space group is I-42d (122). Its energy relative to the elements, uncorrected is 536 kJ/mol of formula units. The value obtained for the density of states at the Fermi level is 3.462 states/eV/f.u.

Lattice parameters (Å, degrees): 5.680 5.680 6.970 65.96 65.96 90.00
Site moments in Bohr magnetons follow the coordinates.
Element x y z (fractional)
Mo 0.627 0.125 0.250  0.40
Mo 0.123 0.625 0.250  0.44
Mo 0.375 0.373 0.750  0.46
Mo 0.875 0.877 0.750  0.44
Br 0.500 0.500 0.000  0.00
Br 0.250 0.750 0.500  0.00
Pd 0.000 0.000 0.000  0.04
Pd 0.750 0.250 0.500  0.05

Entry 6:
A relaxed structure of Y2TmRh9, computed with PBE.

Summary:
The space group is R-3m (166). The value obtained for the density of states at the Fermi level is 12.128 states/eV/f.u. For the formation energy, the calculation gives -54 kJ/mol of atoms.

Lattice parameters (Å, degrees): 5.247 5.247 9.299 73.61 73.61 60.00
Element x y z (fractional)
Y 0.861 0.861 0.416
Y 0.139 0.139 0.584
Tm 0.000 0.000 0.000
Rh 0.667 0.667 0.999
Rh 0.333 0.333 0.001
Rh 0.500 0.500 0.500
Rh 0.418 0.418 0.247
Rh 0.918 0.418 0.247
Rh 0.418 0.918 0.247
Rh 0.582 0.582 0.753
Rh 0.582 0.082 0.753
Rh 0.082 0.582 0.753

Entry 7:
A relaxed structure of Sr2Al, computed with PBE.

Summary:
The space group is Pa-3 (205). The value obtained for the density of states at the Fermi level is 2.822 states/eV/f.u. For the formation energy, the calculation gives 6 kJ/mol of atoms.

Lattice parameters (Å, degrees): 8.090 8.090 8.090 90.00 90.00 90.00
Site moments in Bohr magnetons follow the coordinates.
Element x y z (fractional)
Sr 0.669 0.669 0.331  0.06
Sr 0.331 0.331 0.669  0.06
Sr 0.169 0.831 0.669  0.06
Sr 0.831 0.169 0.331  0.06
Sr 0.331 0.169 0.169  0.06
Sr 0.669 0.831 0.831  0.06
Sr 0.831 0.331 0.831  0.06
Sr 0.169 0.669 0.169  0.06
Al 0.000 0.000 0.000  0.11
Al 0.500 0.500 0.000  0.11
Al 0.500 0.000 0.500  0.11
Al 0.000 0.500 0.500  0.11

Entry 8:
A relaxed structure of CsSr3Ti, computed with PBE.

Summary:
The space group is Pm-3m (221). The value obtained for the density of states at the Fermi level is 19.897 states/eV/f.u. For the formation energy, the calculation gives 144 kJ/mol of atoms.

Lattice parameters (Å, degrees): 6.144 6.144 6.144 90.00 90.00 90.00
Element x y z (fractional)
Cs 0.000 0.000 0.000
Sr 0.000 0.500 0.000
Sr 0.000 0.000 0.500
Sr 0.500 0.000 0.000
Ti 0.500 0.500 0.500

Entry 9:
A relaxed structure of RbCrSb2Te, computed with PBE.

Summary:
The space group is P4/mmm (123). Its energy relative to the elements, uncorrected is 11 kJ/mol of formula units. The value obtained for the density of states at the Fermi level is 3.372 states/eV/f.u.

Lattice parameters (Å, degrees): 5.170 5.170 5.865 90.00 90.00 90.00
Site moments in Bohr magnetons follow the coordinates.
Element x y z (fractional)
Sb 0.000 0.500 0.000  -0.12
Sb 0.500 0.000 0.000  -0.12
Te 0.000 0.000 0.500  0.04
Rb 0.500 0.500 0.500  0.00
Cr 0.000 0.000 0.000  2.70

Entry 10:
A relaxed structure of PrNdNpN4, computed with PBE.

Summary:
The space group is I4mm (107). Its energy relative to the elements, uncorrected is -782 kJ/mol of formula units. The value obtained for the density of states at the Fermi level is 3.062 states/eV/f.u.

Lattice parameters (Å, degrees): 4.190 4.190 7.058 107.26 107.26 90.00
Site moments in Bohr magnetons follow the coordinates.
Element x y z (fractional)
Pr 0.649 0.649 0.297  0.01
Nd 0.353 0.353 0.705  0.01
Np 0.000 0.000 0.000  1.14
N 0.999 0.499 0.998  -0.05
N 0.499 0.999 0.998  -0.05
N 0.830 0.830 0.661  -0.04
N 0.171 0.171 0.342  -0.03

Entry 11:
A relaxed structure of Cs3PrU3Se8, computed with PBE.

Summary:
The space group is R-3m (166). Its energy relative to the elements, uncorrected is -1964 kJ/mol of formula units. The value obtained for the density of states at the Fermi level is 18.350 states/eV/f.u.

Lattice parameters (Å, degrees): 8.527 8.527 9.845 115.66 90.00 120.00
Site moments in Bohr magnetons follow the coordinates.
Element x y z (fractional)
Cs 0.000 0.000 0.000  0.00
Cs 0.000 0.500 0.000  0.00
Cs 0.500 0.500 0.000  0.00
Pr 0.000 0.000 0.500  0.07
U 0.500 0.000 0.500  2.53
U 0.500 0.500 0.500  2.53
U 0.000 0.500 0.500  2.53
Se 0.272 0.543 0.315  -0.06
Se 0.728 0.457 0.685  -0.06
Se 0.766 0.531 0.313  -0.05
Se 0.234 0.469 0.687  -0.05
Se 0.766 0.048 0.313  -0.05
Se 0.234 0.952 0.687  -0.05
Se 0.282 0.048 0.313  -0.05
Se 0.718 0.952 0.687  -0.05

Entry 12:
A relaxed structure of Rb2LaCo, computed with PBE.

Summary:
The space group is Fm-3m (225). The value obtained for the density of states at the Fermi level is 11.310 states/eV/f.u. For the formation energy, the calculation gives 126 kJ/mol of atoms.

Lattice parameters (Å, degrees): 6.066 6.066 6.066 60.00 60.00 60.00
Site moments in Bohr magnetons follow the coordinates.
Element x y z (fractional)
Co 0.000 0.000 0.000  1.89
Rb 0.250 0.250 0.250  -0.04
Rb 0.750 0.750 0.750  -0.04
La 0.500 0.500 0.500  -0.59

Entry 13:
A relaxed structure of Ce4InRe, computed with PBE.

Summary:
The space group is C2/c (15). The value obtained for the density of states at the Fermi level is 12.584 states/eV/f.u. For the formation energy, the calculation gives -11 kJ/mol of atoms.

Lattice parameters (Å, degrees): 5.956 7.630 7.630 110.77 99.92 99.92
Element x y z (fractional)
Ce 0.845 0.628 0.830
Ce 0.077 0.938 0.310
Ce 0.655 0.170 0.372
Ce 0.423 0.690 0.062
Ce 0.577 0.310 0.938
Ce 0.345 0.830 0.628
Ce 0.923 0.062 0.690
Ce 0.155 0.372 0.170
In 0.750 0.608 0.392
In 0.250 0.392 0.608
Re 0.250 0.004 0.996
Re 0.750 0.996 0.004

Entry 14:
A relaxed structure of CdSi2Rh, computed with PBE.

Summary:
The space group is P1 (1). Its energy relative to the elements, uncorrected is -15 kJ/mol of formula units. The value obtained for the density of states at the Fermi level is 1.523 states/eV/f.u.

Lattice parameters (Å, degrees): 3.078 4.644 5.420 110.06 106.37 90.53
Element x y z (fractional)
Cd 0.106 0.150 0.836
Si 0.431 0.536 0.490
Si 0.677 0.703 0.982
Rh 0.349 0.969 0.323

Entry 15:
A relaxed structure of Ba2AlPdRu, computed with PBE.

Summary:
The space group is P4/mmm (123). The value obtained for the density of states at the Fermi level is 2.797 states/eV/f.u. For the formation energy, the calculation gives 10 kJ/mol of atoms.

Lattice parameters (Å, degrees): 5.797 4.725 5.797 90.00 90.00 90.00
Element x y z (fractional)
Ru 0.000 0.000 0.000
Ba 0.000 0.000 0.500
Ba 0.500 0.000 0.000
Pd 0.500 0.500 0.500
Al 0.000 0.500 0.000

Entry 16:
A relaxed structure of Na2SrThO4, computed with PBE.

Summary:
The space group is P2/m (10). Its energy relative to the elements, uncorrected is -2021 kJ/mol of formula units. The value obtained for the density of states at the Fermi level is 0.000 states/eV/f.u.

Lattice parameters (Å, degrees): 3.669 5.999 6.320 69.85 90.00 90.00
Element x y z (fractional)
Na 0.000 0.000 0.000
Na 0.500 0.000 0.500
Sr 0.500 0.500 0.000
Th 0.000 0.500 0.500
O 0.000 0.715 0.734
O 0.000 0.285 0.266
O 0.500 0.718 0.281
O 0.500 0.282 0.719

Entry 17:
A relaxed structure of YCuTc2I, computed with PBE.

Summary:
The space group is P4/mmm (123). Its energy relative to the elements, uncorrected is 758 kJ/mol of formula units. The value obtained for the density of states at the Fermi level is 4.779 states/eV/f.u.

Lattice parameters (Å, degrees): 4.850 5.529 4.850 90.00 90.00 90.00
Site moments in Bohr magnetons follow the coordinates.
Element x y z (fractional)
I 0.000 0.000 0.000  0.00
Y 0.000 0.500 0.000  -0.04
Tc 0.000 0.000 0.500  0.75
Tc 0.500 0.000 0.000  1.03
Cu 0.500 0.500 0.500  0.02

Entry 18:
A relaxed structure of RbCu3F, computed with PBE.

Summary:
The space group is Pm-3m (221). Its energy relative to the elements, uncorrected is 715 kJ/mol of formula units. The value obtained for the density of states at the Fermi level is 7.369 states/eV/f.u.

Lattice parameters (Å, degrees): 5.625 5.625 5.625 90.00 90.00 90.00
Site moments in Bohr magnetons follow the coordinates.
Element x y z (fractional)
Cu 0.000 0.500 0.000  0.04
Cu 0.000 0.000 0.500  0.06
Cu 0.500 0.000 0.000  0.10
Rb 0.000 0.000 0.000  0.04
F 0.500 0.500 0.500  0.05

Entry 19:
A relaxed structure of TaFe3Ir, computed with PBE.

Summary:
The space group is Pm-3m (221). The value obtained for the density of states at the Fermi level is 6.660 states/eV/f.u. For the formation energy, the calculation gives 165 kJ/mol of atoms.

Lattice parameters (Å, degrees): 4.405 4.405 4.405 90.00 90.00 90.00
Site moments in Bohr magnetons follow the coordinates.
Element x y z (fractional)
Ir 0.500 0.500 0.500  0.53
Fe 0.000 0.500 0.000  2.01
Fe 0.000 0.000 0.500  1.95
Fe 0.500 0.000 0.000  1.83
Ta 0.000 0.000 0.000  -0.56

Entry 20:
A relaxed structure of Pr3HoTm2, computed with PBE.

Summary:
The space group is C2/c (15). The value obtained for the density of states at the Fermi level is 9.061 states/eV/f.u. For the formation energy, the calculation gives 6 kJ/mol of atoms.

Lattice parameters (Å, degrees): 9.055 6.721 6.721 94.84 81.48 81.48
Element x y z (fractional)
Pr 0.250 0.392 0.608
Pr 0.750 0.608 0.392
Pr 0.018 0.813 0.648
Pr 0.482 0.352 0.187
Pr 0.518 0.648 0.813
Pr 0.982 0.187 0.352
Ho 0.750 0.938 0.062
Ho 0.250 0.062 0.938
Tm 0.620 0.120 0.626
Tm 0.120 0.626 0.120
Tm 0.880 0.374 0.880
Tm 0.380 0.880 0.374